No. 1
Nb3RePd after structural relaxation. Source: the Alexandria database, functional PBE-GGA.

Results
Relative energy among the computed polymorphs in eV/atom: 0.554
ΔH_f (0 K) in meV/atom: 1703

Geometry as POSCAR:
```
Nb3RePd
1.0
-2.465 -3.603 1.866
3.271 -0.473 3.409
-2.402 3.056 2.728
Re Nb Pd
1 3 1
Direct
0.500 0.500 0.500
0.000 0.500 0.000
0.000 0.000 0.500
0.500 0.000 0.000
0.000 0.000 0.000
```

No. 2
NbRe2Pd after structural relaxation. Source: the Alexandria database, functional PBE-GGA.

Results
Relative energy among the computed polymorphs in eV/atom: 0.344
ΔH_f (0 K) in meV/atom: 295

Geometry as POSCAR:
```
NbRe2Pd
1.0
0.000 3.168 3.168
3.168 0.000 3.168
3.168 3.168 0.000
Re Nb Pd
2 1 1
Direct
0.250 0.250 0.250
0.750 0.750 0.750
0.000 0.000 0.000
0.500 0.500 0.500
```

No. 3
TiNb2RePd after structural relaxation. Source: the Alexandria database, functional PBE-GGA.

Results
ΔH_f (0 K) in meV/atom: 1455

Geometry as POSCAR:
```
TiNb2RePd
1.0
-4.120 1.883 -1.676
-1.580 -4.092 -0.714
-1.846 -0.066 4.463
Re Nb Pd Ti
1 2 1 1
Direct
0.500 0.500 0.500
0.000 0.000 0.500
0.500 0.000 0.000
0.000 0.000 0.000
0.000 0.500 0.000
```

No. 4
TiNbRePd after structural relaxation. Source: the Alexandria database, functional PBE-GGA.

Results
ΔH_f (0 K) in meV/atom: -300

Geometry as POSCAR:
```
TiNbRePd
1.0
4.503 0.000 0.000
2.251 3.899 0.000
2.251 1.300 3.676
Re Nb Pd Ti
1 1 1 1
Direct
0.000 0.000 0.000
0.750 0.750 0.750
0.500 0.500 0.500
0.250 0.250 0.250
```

No. 5
YNbRePd2 after structural relaxation. Source: the Alexandria database, functional PBE-GGA.

Results
ΔH_f (0 K) in meV/atom: 1955

Geometry as POSCAR:
```
YNbRePd2
1.0
-4.621 -0.709 -0.500
0.822 -5.022 -0.468
-0.427 -0.504 4.655
Y Re Nb Pd
1 1 1 2
Direct
0.000 0.000 0.000
0.500 0.500 0.500
0.000 0.500 0.000
0.000 0.000 0.500
0.500 0.000 0.000
```

No. 6
NbZnRe2Pd after structural relaxation. Source: the Alexandria database, functional PBE-GGA.

Results
ΔH_f (0 K) in meV/atom: 2101

Geometry as POSCAR:
```
NbZnRe2Pd
1.0
-2.432 1.257 3.848
3.449 -1.781 2.762
2.167 4.196 0.000
Re Nb Zn Pd
2 1 1 1
Direct
0.000 0.000 0.500
0.500 0.000 0.000
0.000 0.500 0.000
0.500 0.500 0.500
0.000 0.000 0.000
```

No. 7
Nb2PdRh2 after structural relaxation. Source: the Alexandria database, functional PBE-GGA.

Results
Relative energy among the computed polymorphs in eV/atom: 0.409
ΔH_f (0 K) in meV/atom: 39

Geometry as POSCAR:
```
Nb2PdRh2
1.0
4.331 0.000 0.000
0.000 4.331 0.000
2.166 2.166 5.041
Nb Rh Pd
2 2 1
Direct
0.750 0.250 0.500
0.250 0.750 0.500
0.379 0.379 0.242
0.621 0.621 0.758
0.000 0.000 0.000
```

No. 8
NbPdRh3 after structural relaxation. Source: the Alexandria database, functional PBE-GGA.

Results
Relative energy among the computed polymorphs in eV/atom: 0.446
ΔH_f (0 K) in meV/atom: 422

Geometry as POSCAR:
```
NbPdRh3
1.0
-3.928 0.850 -2.507
-2.596 -5.476 2.211
-0.868 5.515 3.231
Nb Pd Rh
2 2 6
Direct
0.250 0.334 0.666
0.750 0.666 0.334
0.000 0.000 0.000
0.500 0.000 0.000
0.250 0.797 0.203
0.750 0.203 0.797
0.250 0.797 0.595
0.750 0.203 0.405
0.250 0.405 0.203
0.750 0.595 0.797
```

No. 9
NbPdRh3 after structural relaxation. Source: the Alexandria database, functional PBE-GGA.

Results
Relative energy among the computed polymorphs in eV/atom: 0.000
ΔH_f (0 K) in meV/atom: -24

Geometry as POSCAR:
```
NbPdRh3
1.0
1.019 -5.060 -1.627
4.020 -0.961 -3.494
5.829 -2.774 3.277
Nb Pd Rh
2 2 6
Direct
0.100 0.100 0.699
0.900 0.900 0.301
0.333 0.333 0.002
0.667 0.667 0.998
0.106 0.618 0.659
0.618 0.106 0.659
0.382 0.382 0.341
0.382 0.894 0.341
0.894 0.382 0.341
0.618 0.618 0.659
```

No. 10
Nb2Pd3Rh after structural relaxation. Source: the Alexandria database, functional PBE-GGA.

Results
ΔH_f (0 K) in meV/atom: -319

Geometry as POSCAR:
```
Nb2Pd3Rh
1.0
-0.728 -0.917 -3.724
-4.180 -3.121 3.631
-2.085 8.731 -1.742
Nb Pd Rh
4 6 2
Direct
0.528 0.055 0.858
0.472 0.945 0.142
0.784 0.568 0.136
0.216 0.432 0.864
0.291 0.583 0.622
0.963 0.926 0.632
0.628 0.256 0.633
0.372 0.744 0.367
0.037 0.074 0.368
0.709 0.417 0.378
0.878 0.756 0.881
0.122 0.244 0.119
```

No. 11
NbPd2Rh2 after structural relaxation. Source: the Alexandria database, functional PBE-GGA.

Results
Relative energy among the computed polymorphs in eV/atom: 0.366
ΔH_f (0 K) in meV/atom: -12

Geometry as POSCAR:
```
NbPd2Rh2
1.0
-3.896 5.125 -1.322
-4.239 -4.004 -3.032
-1.823 -0.543 3.267
Nb Rh Pd
2 4 4
Direct
0.000 0.000 0.000
0.500 0.500 0.000
0.363 0.863 0.000
0.863 0.637 0.000
0.637 0.137 0.000
0.137 0.363 0.000
0.161 0.661 0.500
0.661 0.839 0.500
0.839 0.339 0.500
0.339 0.161 0.500
```

No. 12
Nb6PdRh12 after structural relaxation. Source: the Alexandria database, functional PBE-GGA.

Results
ΔH_f (0 K) in meV/atom: -256

Geometry as POSCAR:
```
Nb6PdRh12
1.0
6.694 0.392 0.470
-0.627 6.676 0.470
-0.627 -0.731 6.652
Nb Pd Rh
6 1 12
Direct
0.699 0.870 0.253
0.747 0.301 0.130
0.130 0.747 0.301
0.301 0.130 0.747
0.253 0.699 0.870
0.870 0.253 0.699
0.000 0.000 0.000
0.793 0.536 0.454
0.454 0.793 0.536
0.536 0.454 0.793
0.207 0.464 0.546
0.546 0.207 0.464
0.464 0.546 0.207
0.037 0.141 0.365
0.859 0.635 0.963
0.635 0.963 0.859
0.963 0.859 0.635
0.141 0.365 0.037
0.365 0.037 0.141
```